A plane-wave DFT calculation with PBE was carried out for an optimized crystal structure of BaSc3Tl.

The structure in extended XYZ format:
```
5
Lattice="5.374 0.000 0.000 0.000 5.374 0.000 0.000 0.000 5.374" Properties=species:S:1:pos:R:3 pbc="T T T"
Ba 0.000 0.000 0.000
Sc 0.000 0.000 2.687
Sc 0.000 2.687 0.000
Sc 2.687 0.000 0.000
Tl 2.687 2.687 2.687
```

Calculated values
For the total energy, the calculation gives -3.5235 eV/atom. Its density of states at the Fermi level is 5.75 states/eV per cell.


A plane-wave DFT calculation with PBE was carried out for an optimized crystal structure of BaSc2Tl.

The structure in extended XYZ format:
```
4
Lattice="3.730 0.000 0.000 0.000 3.730 0.000 0.000 0.000 8.952" Properties=species:S:1:pos:R:3 pbc="T T T"
Ba 0.000 0.000 0.000
Sc 0.000 0.000 4.790
Sc 1.865 1.865 2.996
Tl 1.865 1.865 6.397
```

Calculated values
For the total energy, the calculation gives -4.2620 eV/atom. Its density of states at the Fermi level is 4.35 states/eV per cell.


A plane-wave DFT calculation with PBE was carried out for an optimized crystal structure of BaSc2Tl.

The structure in extended XYZ format:
```
4
Lattice="3.782 0.000 0.000 0.000 5.434 0.000 0.000 0.000 5.791" Properties=species:S:1:pos:R:3 pbc="T T T"
Ba 0.000 0.000 0.000
Sc 0.000 2.717 2.895
Sc 1.891 2.717 0.000
Tl 1.891 0.000 2.895
```

Calculated values
For the total energy, the calculation gives -4.0776 eV/atom. Its density of states at the Fermi level is 5.66 states/eV per cell.


A plane-wave DFT calculation with PBE was carried out for an optimized crystal structure of BaSc2Tl.

The structure in extended XYZ format:
```
4
Lattice="-2.472 2.472 4.824 2.472 -2.472 4.824 2.472 2.472 -4.824" Properties=species:S:1:pos:R:3 pbc="T T T"
Ba 0.000 0.000 0.000
Sc 2.472 0.000 2.412
Sc 0.000 0.000 4.824
Tl 0.000 2.472 2.412
```

Calculated values
For the total energy, the calculation gives -4.0976 eV/atom. Its density of states at the Fermi level is 5.38 states/eV per cell.


A plane-wave DFT calculation with PBE was carried out for an optimized crystal structure of BaSc2Tl.

The structure in extended XYZ format:
```
4
Lattice="-1.836 2.946 5.763 1.836 -2.946 5.763 1.836 2.946 -5.763" Properties=species:S:1:pos:R:3 pbc="T T T"
Ba 0.000 0.000 0.000
Sc 1.836 0.000 3.295
Sc 0.000 2.946 2.468
Tl 0.000 0.000 5.763
```

Calculated values
For the total energy, the calculation gives -4.1764 eV/atom. Its density of states at the Fermi level is 6.55 states/eV per cell.


A plane-wave DFT calculation with PBE was carried out for an optimized crystal structure of BaSc2Tl.

The structure in extended XYZ format:
```
4
Lattice="3.477 -5.787 0.000 3.477 5.787 0.000 -1.647 0.000 3.010" Properties=species:S:1:pos:R:3 pbc="T T T"
Ba 0.000 0.000 0.000
Sc 0.915 2.894 1.505
Sc 0.915 -2.894 1.505
Tl 3.477 0.000 0.000
```

Calculated values
For the total energy, the calculation gives -4.0447 eV/atom. Its density of states at the Fermi level is 5.75 states/eV per cell.


A plane-wave DFT calculation with PBE was carried out for an optimized crystal structure of BaSc2Tl.

The structure in extended XYZ format:
```
4
Lattice="0.000 3.925 3.925 3.925 0.000 3.925 3.925 3.925 0.000" Properties=species:S:1:pos:R:3 pbc="T T T"
Ba 0.000 0.000 0.000
Sc 3.925 3.925 3.925
Sc 5.887 5.887 5.887
Tl 1.962 1.962 1.962
```

Calculated values
For the total energy, the calculation gives -4.0766 eV/atom. Its density of states at the Fermi level is 7.36 states/eV per cell.


A plane-wave DFT calculation with PBE was carried out for an optimized crystal structure of BaSc4Tl5.

The structure in extended XYZ format:
```
10
Lattice="3.711 0.000 0.000 0.000 3.711 0.000 0.000 0.000 18.903" Properties=species:S:1:pos:R:3 pbc="T T T"
Ba 0.000 0.000 0.000
Sc 0.000 0.000 4.241
Sc 0.000 0.000 7.719
Sc 0.000 0.000 11.183
Sc 0.000 0.000 14.662
Tl 1.855 1.855 2.526
Tl 1.855 1.855 5.987
Tl 1.855 1.855 9.451
Tl 1.855 1.855 12.916
Tl 1.855 1.855 16.377
```

Calculated values
For the total energy, the calculation gives -4.1747 eV/atom. Its density of states at the Fermi level is 6.72 states/eV per cell.


A plane-wave DFT calculation with PBE was carried out for an optimized crystal structure of BaSc2Tl.

The structure in extended XYZ format:
```
4
Lattice="3.568 0.000 0.000 0.000 4.629 0.000 0.000 0.000 7.494" Properties=species:S:1:pos:R:3 pbc="T T T"
Ba 0.000 0.000 0.000
Sc 0.000 0.000 3.844
Sc 1.784 2.314 2.425
Tl 1.784 2.314 5.360
```

Calculated values
For the total energy, the calculation gives -4.2259 eV/atom. Its density of states at the Fermi level is 4.72 states/eV per cell.


A plane-wave DFT calculation with PBE was carried out for an optimized crystal structure of BaSc2Tl.

The structure in extended XYZ format:
```
4
Lattice="0.000 3.821 3.821 3.821 0.000 3.821 3.821 3.821 0.000" Properties=species:S:1:pos:R:3 pbc="T T T"
Ba 0.000 0.000 0.000
Sc 1.910 1.910 1.910
Sc 5.731 5.731 5.731
Tl 3.821 3.821 3.821
```

Calculated values
For the total energy, the calculation gives -4.0532 eV/atom. Its density of states at the Fermi level is 6.29 states/eV per cell.


A plane-wave DFT calculation with PBE was carried out for an optimized crystal structure of BaSc2Tl2.

The structure in extended XYZ format:
```
5
Lattice="-2.411 2.411 6.808 2.411 -2.411 6.808 2.411 2.411 -6.808" Properties=species:S:1:pos:R:3 pbc="T T T"
Ba 0.000 0.000 0.000
Sc 2.411 0.000 3.404
Sc 0.000 2.411 3.404
Tl 0.000 0.000 5.236
Tl 0.000 0.000 8.380
```

Calculated values
For the total energy, the calculation gives -4.0330 eV/atom. Its density of states at the Fermi level is 4.19 states/eV per cell.


A plane-wave DFT calculation with PBE was carried out for an optimized crystal structure of BaSc2Tl.

The structure in extended XYZ format:
```
4
Lattice="-1.899 2.705 5.807 1.899 -2.705 5.807 1.899 2.705 -5.807" Properties=species:S:1:pos:R:3 pbc="T T T"
Ba 0.000 0.000 0.000
Sc 1.899 0.000 3.337
Sc 0.000 0.000 6.343
Tl 0.000 2.705 2.850
```

Calculated values
For the total energy, the calculation gives -4.1030 eV/atom. Its density of states at the Fermi level is 4.83 states/eV per cell.


A plane-wave DFT calculation with PBE was carried out for an optimized crystal structure of Ba3ScTl.

The structure in extended XYZ format:
```
5
Lattice="6.639 0.000 0.000 0.000 6.639 0.000 0.000 0.000 6.639" Properties=species:S:1:pos:R:3 pbc="T T T"
Ba 0.000 0.000 3.320
Ba 0.000 3.320 0.000
Ba 3.320 0.000 0.000
Sc 3.320 3.320 3.320
Tl 0.000 0.000 0.000
```

Calculated values
For the total energy, the calculation gives -2.4662 eV/atom. Its density of states at the Fermi level is 27.98 states/eV per cell.


A plane-wave DFT calculation with PBE was carried out for an optimized crystal structure of BaScTl4.

The structure in extended XYZ format:
```
6
Lattice="0.000 4.533 4.533 4.533 0.000 4.533 4.533 4.533 0.000" Properties=species:S:1:pos:R:3 pbc="T T T"
Ba 0.000 0.000 0.000
Sc 6.799 6.799 6.799
Tl 3.406 3.406 3.406
Tl 5.660 5.660 3.406
Tl 5.660 3.406 5.660
Tl 3.406 5.660 5.660
```

Calculated values
For the total energy, the calculation gives -2.9776 eV/atom. Its density of states at the Fermi level is 6.05 states/eV per cell.


A plane-wave DFT calculation with PBE was carried out for an optimized crystal structure of BaSc3Tl.

The structure in extended XYZ format:
```
5
Lattice="5.580 0.000 0.000 0.000 5.580 0.000 0.000 0.000 5.580" Properties=species:S:1:pos:R:3 pbc="T T T"
Ba 0.000 0.000 0.000
Sc 0.000 2.790 2.790
Sc 2.790 0.000 2.790
Sc 2.790 2.790 0.000
Tl 2.790 2.790 2.790
```

Calculated values
For the total energy, the calculation gives -4.3095 eV/atom. Its density of states at the Fermi level is 7.37 states/eV per cell.


A plane-wave DFT calculation with PBE was carried out for an optimized crystal structure of BaSc2Tl.

The structure in extended XYZ format:
```
4
Lattice="5.351 -1.765 0.000 5.351 1.765 0.000 -1.048 0.000 6.779" Properties=species:S:1:pos:R:3 pbc="T T T"
Ba 0.000 0.000 0.000
Sc 4.951 0.000 3.403
Sc 7.960 0.000 2.279
Tl 1.952 0.000 4.690
```

Calculated values
For the total energy, the calculation gives -4.1173 eV/atom. Its density of states at the Fermi level is 5.66 states/eV per cell.


A plane-wave DFT calculation with PBE was carried out for an optimized crystal structure of Ba2ScTl2.

The structure in extended XYZ format:
```
10
Lattice="8.164 0.000 0.000 0.000 8.164 0.000 0.000 0.000 5.619" Properties=species:S:1:pos:R:3 pbc="T T T"
Ba 1.358 2.724 0.000
Ba 2.724 6.806 0.000
Ba 5.440 1.358 0.000
Ba 6.806 5.440 0.000
Sc 0.000 0.000 2.809
Sc 4.082 4.082 2.809
Tl 1.179 5.261 2.809
Tl 2.903 1.179 2.809
Tl 5.261 6.985 2.809
Tl 6.985 2.903 2.809
```

Calculated values
For the total energy, the calculation gives -3.1150 eV/atom. Its density of states at the Fermi level is 12.93 states/eV per cell.


A plane-wave DFT calculation with PBE was carried out for an optimized crystal structure of BaSc2Tl2.

The structure in extended XYZ format:
```
10
Lattice="9.130 0.000 0.000 0.000 9.130 0.000 0.000 0.000 3.344" Properties=species:S:1:pos:R:3 pbc="T T T"
Ba 0.000 0.000 0.000
Ba 4.565 4.565 0.000
Sc 1.101 3.464 0.000
Sc 3.464 8.029 0.000
Sc 5.667 1.101 0.000
Sc 8.029 5.667 0.000
Tl 1.586 6.152 1.672
Tl 2.979 1.586 1.672
Tl 6.152 7.544 1.672
Tl 7.544 2.979 1.672
```

Calculated values
For the total energy, the calculation gives -4.0592 eV/atom. Its density of states at the Fermi level is 10.07 states/eV per cell.


A plane-wave DFT calculation with PBE was carried out for an optimized crystal structure of BaSc2Tl.

The structure in extended XYZ format:
```
8
Lattice="-2.742 2.742 10.667 2.742 -2.742 10.667 2.742 2.742 -10.667" Properties=species:S:1:pos:R:3 pbc="T T T"
Ba 2.742 1.371 2.667
Ba 0.000 1.371 8.000
Sc 0.000 0.000 0.000
Sc 1.371 1.371 -5.333
Sc 1.371 -1.371 5.333
Sc 0.000 2.742 0.000
Tl 2.742 -1.371 8.000
Tl 0.000 4.113 2.667
```

Calculated values
For the total energy, the calculation gives -3.8063 eV/atom. Its density of states at the Fermi level is 13.11 states/eV per cell.


A plane-wave DFT calculation with PBE was carried out for an optimized crystal structure of BaSc2Tl.

The structure in extended XYZ format:
```
4
Lattice="4.942 0.000 0.000 0.000 4.942 0.000 0.000 0.000 4.865" Properties=species:S:1:pos:R:3 pbc="T T T"
Ba 0.000 0.000 0.000
Sc 0.000 2.471 2.433
Sc 2.471 0.000 2.433
Tl 2.471 2.471 0.000
```

Calculated values
For the total energy, the calculation gives -4.0906 eV/atom. Its density of states at the Fermi level is 5.59 states/eV per cell.


A plane-wave DFT calculation with PBE was carried out for an optimized crystal structure of BaSc2Tl.

The structure in extended XYZ format:
```
4
Lattice="3.587 0.000 0.000 0.000 3.587 0.000 0.000 0.000 9.540" Properties=species:S:1:pos:R:3 pbc="T T T"
Ba 0.000 0.000 0.000
Sc 1.794 1.794 2.956
Sc 1.794 1.794 6.584
Tl 0.000 0.000 4.770
```

Calculated values
For the total energy, the calculation gives -4.1633 eV/atom. Its density of states at the Fermi level is 5.36 states/eV per cell.


A plane-wave DFT calculation with PBE was carried out for an optimized crystal structure of BaSc2Tl.

The structure in extended XYZ format:
```
4
Lattice="1.808 1.044 10.774 -1.808 1.044 10.774 0.000 -2.088 10.774" Properties=species:S:1:pos:R:3 pbc="T T T"
Ba 0.000 0.000 0.000
Sc 0.000 0.000 7.647
Sc 0.000 0.000 24.675
Tl 0.000 0.000 16.161
```

Calculated values
For the total energy, the calculation gives -4.0851 eV/atom. Its density of states at the Fermi level is 2.32 states/eV per cell.


A plane-wave DFT calculation with PBE was carried out for an optimized crystal structure of BaTm2Sc.

The structure in extended XYZ format:
```
4
Lattice="1.754 1.013 12.398 -1.754 1.013 12.398 0.000 -2.026 12.398" Properties=species:S:1:pos:R:3 pbc="T T T"
Ba 0.000 0.000 0.000
Tm 0.000 0.000 3.581
Tm 0.000 0.000 33.614
Sc 0.000 0.000 18.598
```

Calculated values
For the total energy, the calculation gives -4.0363 eV/atom. Its density of states at the Fermi level is 5.65 states/eV per cell.


A plane-wave DFT calculation with PBE was carried out for an optimized crystal structure of BaTm2Sc.

The structure in extended XYZ format:
```
4
Lattice="3.885 0.000 0.000 0.000 3.885 0.000 0.000 0.000 9.363" Properties=species:S:1:pos:R:3 pbc="T T T"
Ba 0.000 0.000 0.000
Tm 1.943 1.943 2.945
Tm 1.943 1.943 6.417
Sc 0.000 0.000 4.681
```

Calculated values
For the total energy, the calculation gives -4.1248 eV/atom. Its density of states at the Fermi level is 5.39 states/eV per cell.


A plane-wave DFT calculation with PBE was carried out for an optimized crystal structure of BaSc3V.

The structure in extended XYZ format:
```
5
Lattice="5.263 0.000 0.000 0.000 5.263 0.000 0.000 0.000 5.263" Properties=species:S:1:pos:R:3 pbc="T T T"
Ba 0.000 0.000 0.000
Sc 0.000 0.000 2.632
Sc 0.000 2.632 0.000
Sc 2.632 0.000 0.000
V 2.632 2.632 2.632
```

Calculated values
For the total energy, the calculation gives -4.4519 eV/atom. Its density of states at the Fermi level is 8.23 states/eV per cell.


A plane-wave DFT calculation with PBE was carried out for an optimized crystal structure of BaSc3V.

The structure in extended XYZ format:
```
5
Lattice="5.284 0.000 0.000 0.000 5.284 0.000 0.000 0.000 5.284" Properties=species:S:1:pos:R:3 pbc="T T T"
Ba 0.000 0.000 0.000
Sc 0.000 2.642 2.642
Sc 2.642 0.000 2.642
Sc 2.642 2.642 0.000
V 2.642 2.642 2.642
```

Calculated values
For the total energy, the calculation gives -5.6037 eV/atom. Its density of states at the Fermi level is 4.34 states/eV per cell.


A plane-wave DFT calculation with PBE was carried out for an optimized crystal structure of Ba3ScV.

The structure in extended XYZ format:
```
5
Lattice="6.275 0.000 0.000 0.000 6.275 0.000 0.000 0.000 6.275" Properties=species:S:1:pos:R:3 pbc="T T T"
Ba 0.000 0.000 3.138
Ba 0.000 3.138 0.000
Ba 3.138 0.000 0.000
Sc 3.138 3.138 3.138
V 0.000 0.000 0.000
```

Calculated values
For the total energy, the calculation gives -3.3458 eV/atom. Its density of states at the Fermi level is 11.96 states/eV per cell.


A plane-wave DFT calculation with PBE was carried out for an optimized crystal structure of Ba2ScV2.

The structure in extended XYZ format:
```
10
Lattice="9.750 0.000 0.000 0.000 9.750 0.000 0.000 0.000 3.385" Properties=species:S:1:pos:R:3 pbc="T T T"
Ba 2.073 2.802 0.000
Ba 2.802 7.677 0.000
Ba 6.948 2.073 0.000
Ba 7.677 6.948 0.000
Sc 0.000 0.000 0.000
Sc 4.875 4.875 0.000
V 0.654 5.529 1.693
V 4.221 0.654 1.693
V 5.529 9.096 1.693
V 9.096 4.221 1.693
```

Calculated values
For the total energy, the calculation gives -4.6911 eV/atom. Its density of states at the Fermi level is 14.42 states/eV per cell.